Entry from Alexandria: BaIr2PbO at its PBEsol-relaxed geometry (SCAN). Values from VASP.

Magnetization ... 1.8 μB per cell
Formation energy without anion corrections ... 1584 meV per atom
Fermi-level density of states ... 0.5935 states/eV per atom
DFT total energy ... -255.8 eV/cell
SG ... P4/mmm (123)

Quantum ESPRESSO input file:
```
&SYSTEM
  ibrav = 0, nat = 5, ntyp = 4
/
ATOMIC_SPECIES
Ba 137.33 Ba.upf
Ir 192.22 Ir.upf
Pb 207.20 Pb.upf
O 16.00 O.upf
ATOMIC_POSITIONS crystal
Ba 0.000 0.000 0.000
Ir 0.000 0.500 0.000
Ir 0.500 0.000 0.000
Pb 0.500 0.500 0.500
O 0.000 0.000 0.500
CELL_PARAMETERS angstrom
5.242 0.000 0.000
0.000 5.242 0.000
0.000 0.000 4.327
```

---

Entry from Alexandria: ZnAg2Mo at its PBEsol-relaxed geometry (SCAN). Values from VASP.

Magnetization ... 0.0 μB per cell
Fermi-level density of states ... 0.5448 states/eV per atom
DFT total energy ... -109.5 eV/cell
SG ... Pmmm (47)

Quantum ESPRESSO input file:
```
&SYSTEM
  ibrav = 0, nat = 4, ntyp = 3
/
ATOMIC_SPECIES
Zn 65.41 Zn.upf
Ag 107.87 Ag.upf
Mo 95.94 Mo.upf
ATOMIC_POSITIONS crystal
Zn 0.000 0.000 0.000
Ag 0.000 0.500 0.500
Ag 0.500 0.000 0.500
Mo 0.500 0.500 0.000
CELL_PARAMETERS angstrom
2.697 0.000 0.000
0.000 4.778 0.000
0.000 0.000 4.869
```